(1)
VASP calculation (PBE-GGA) on CsGe3Pt3 after structural relaxation.

Results
Space-group type: R-3 (148)
E_tot in eV/cell: -71.48
Formation energy in eV/atom: -0.42
Spin magnetization in μB per formula unit: 0.000
ΔE to the lowest computed polymorph in meV/atom: 0

The structure in CIF format:
```
data_CsGe3Pt3
_symmetry_space_group_name_H-M 'P 1'
_symmetry_Int_Tables_number 1
_cell_length_a 6.8776
_cell_length_b 6.8776
_cell_length_c 9.6360
_cell_angle_alpha 69.09
_cell_angle_beta 69.09
_cell_angle_gamma 60.00
loop_
_symmetry_equiv_pos_as_xyz
'x,y,z'
loop_
_atom_site_label
_atom_site_type_symbol
_atom_site_fract_x
_atom_site_fract_y
_atom_site_fract_z
_atom_site_occupancy
Cs1 Cs 0.3366 0.3366 0.9901 1
Cs2 Cs 0.6634 0.6634 0.0099 1
Ge1 Ge 0.5410 0.7122 0.6346 1
Ge2 Ge 0.7122 0.1122 0.6346 1
Ge3 Ge 0.1122 0.5410 0.6346 1
Ge4 Ge 0.8878 0.4590 0.3654 1
Ge5 Ge 0.2878 0.8878 0.3654 1
Ge6 Ge 0.4590 0.2878 0.3654 1
Pt1 Pt 0.1228 0.6564 0.3409 1
Pt2 Pt 0.8799 0.1228 0.3409 1
Pt3 Pt 0.6564 0.8799 0.3409 1
Pt4 Pt 0.3436 0.1201 0.6591 1
Pt5 Pt 0.1201 0.8772 0.6591 1
Pt6 Pt 0.8772 0.3436 0.6591 1
```

***

(2)
VASP calculation (PBE-GGA) on LiZnCo2 after structural relaxation.

Results
Space-group type: P4/mmm (123)
E_tot in eV/cell: -17.06
Formation energy in eV/atom: 0.08
Spin magnetization in μB per formula unit: 2.881

The structure in CIF format:
```
data_LiZnCo2
_symmetry_space_group_name_H-M 'P 1'
_symmetry_Int_Tables_number 1
_cell_length_a 3.9312
_cell_length_b 3.4651
_cell_length_c 3.4651
_cell_angle_alpha 90.00
_cell_angle_beta 90.00
_cell_angle_gamma 90.00
loop_
_symmetry_equiv_pos_as_xyz
'x,y,z'
loop_
_atom_site_label
_atom_site_type_symbol
_atom_site_fract_x
_atom_site_fract_y
_atom_site_fract_z
_atom_site_occupancy
Co1 Co 0.0000 0.0000 0.0000 1
Co2 Co 0.0000 0.5000 0.5000 1
Li1 Li 0.5000 0.5000 0.0000 1
Zn1 Zn 0.5000 0.0000 0.5000 1
```